BeFeSn | PBE | relaxed

Properties
Its excess energy over the best structure of this formula in the dataset is 0.000 eV per atom. The value obtained for the size of the total moment is 0.693 μB per atom.

Structure (CIF):
```
data_BeFeSn
_space_group_name_H-M_alt 'F -4 3 m'
_space_group_IT_number 216
_space_group_name_Hall 'F -4 2 3'
_cell_length_a 5.6444
_cell_length_b 5.6444
_cell_length_c 5.6444
_cell_angle_alpha 90.00
_cell_angle_beta 90.00
_cell_angle_gamma 90.00
loop_
_atom_site_label
_atom_site_fract_x
_atom_site_fract_y
_atom_site_fract_z
Be1 0.0000 0.0000 0.0000
Fe1 0.2500 0.2500 0.7500
Sn1 0.2500 0.2500 0.2500
```

=====

BeFeTcSn | PBE | relaxed

Properties
Its excess energy over the best structure of this formula in the dataset is 0.000 eV per atom. The value obtained for the size of the total moment is 0.640 μB per atom.

Structure (CIF):
```
data_BeFeTcSn
_space_group_name_H-M_alt 'F -4 3 m'
_space_group_IT_number 216
_space_group_name_Hall 'F -4 2 3'
_cell_length_a 6.0156
_cell_length_b 6.0156
_cell_length_c 6.0156
_cell_angle_alpha 90.00
_cell_angle_beta 90.00
_cell_angle_gamma 90.00
loop_
_atom_site_label
_atom_site_fract_x
_atom_site_fract_y
_atom_site_fract_z
Be1 0.0000 0.0000 0.0000
Fe1 0.0000 0.0000 0.5000
Tc1 0.2500 0.2500 0.7500
Sn1 0.2500 0.2500 0.2500
```

=====

BeFeSnW | PBE | relaxed

Properties
Its excess energy over the best structure of this formula in the dataset is 0.000 eV per atom. The value obtained for the size of the total moment is 0.495 μB per atom.

Structure (CIF):
```
data_BeFeSnW
_space_group_name_H-M_alt 'F -4 3 m'
_space_group_IT_number 216
_space_group_name_Hall 'F -4 2 3'
_cell_length_a 6.0569
_cell_length_b 6.0569
_cell_length_c 6.0569
_cell_angle_alpha 90.00
_cell_angle_beta 90.00
_cell_angle_gamma 90.00
loop_
_atom_site_label
_atom_site_fract_x
_atom_site_fract_y
_atom_site_fract_z
Be1 0.0000 0.0000 0.0000
Fe1 0.0000 0.0000 0.5000
Sn1 0.2500 0.2500 0.2500
W1 0.2500 0.2500 0.7500
```

=====

BeFeSnW | PBE | relaxed

Properties
Its excess energy over the best structure of this formula in the dataset is 0.187 eV per atom. The value obtained for the size of the total moment is 0.650 μB per atom.

Structure (CIF):
```
data_BeFeSnW
_space_group_name_H-M_alt 'F -4 3 m'
_space_group_IT_number 216
_space_group_name_Hall 'F -4 2 3'
_cell_length_a 6.1460
_cell_length_b 6.1460
_cell_length_c 6.1460
_cell_angle_alpha 90.00
_cell_angle_beta 90.00
_cell_angle_gamma 90.00
loop_
_atom_site_label
_atom_site_fract_x
_atom_site_fract_y
_atom_site_fract_z
Be1 0.0000 0.0000 0.0000
Fe1 0.2500 0.2500 0.7500
Sn1 0.0000 0.0000 0.5000
W1 0.2500 0.2500 0.2500
```

=====

SrBe2Fe | PBE | relaxed

Properties
Its calculated total energy is -3.35 eV per atom. The value obtained for the size of the total moment is 0.615 μB per atom.

Structure (CIF):
```
data_SrBe2Fe
_space_group_name_H-M_alt 'F -4 3 m'
_space_group_IT_number 216
_space_group_name_Hall 'F -4 2 3'
_cell_length_a 6.2982
_cell_length_b 6.2982
_cell_length_c 6.2982
_cell_angle_alpha 90.00
_cell_angle_beta 90.00
_cell_angle_gamma 90.00
loop_
_atom_site_label
_atom_site_fract_x
_atom_site_fract_y
_atom_site_fract_z
Sr1 0.0000 0.0000 0.0000
Be1 0.0000 0.0000 0.5000
Be2 0.2500 0.2500 0.7500
Fe1 0.2500 0.2500 0.2500
```

=====

SrBeFeTe | PBE | relaxed

Properties
Its excess energy over the best structure of this formula in the dataset is 0.143 eV per atom. The value obtained for the size of the total moment is 0.565 μB per atom.

Structure (CIF):
```
data_SrBeFeTe
_space_group_name_H-M_alt 'F -4 3 m'
_space_group_IT_number 216
_space_group_name_Hall 'F -4 2 3'
_cell_length_a 7.1634
_cell_length_b 7.1634
_cell_length_c 7.1634
_cell_angle_alpha 90.00
_cell_angle_beta 90.00
_cell_angle_gamma 90.00
loop_
_atom_site_label
_atom_site_fract_x
_atom_site_fract_y
_atom_site_fract_z
Sr1 0.0000 0.0000 0.0000
Be1 0.0000 0.0000 0.5000
Fe1 0.2500 0.2500 0.2500
Te1 0.2500 0.2500 0.7500
```